No. 1
ErThZn after structural relaxation, computed with PBE.

POSCAR file:
```
ErThZn
1.0
3.5531 0.0000 0.0000
0.0000 3.5531 0.0000
-1.7766 -1.7766 6.2698
Er Th Zn
1 1 1
direct
0.3126 0.3126 0.6252 Er
0.0127 0.0127 0.0255 Th
0.6747 0.6747 0.3493 Zn
```

Summary:
* formation energy: -43 kJ/mol of formula units
* uncorrected energy: -13.70 eV/cell
* energy relative to the lowest polymorph listed for this composition: 0.00 eV per formula unit
* N(E_F): 0.995 states/eV/atom
* SG: I4mm (107)

***

No. 2
LiLaTa after structural relaxation, computed with PBE.

POSCAR file:
```
LiLaTa
1.0
4.6790 0.0000 0.0000
2.3395 4.0521 0.0000
2.3395 1.3507 3.8203
Li Ta La
1 1 1
direct
0.2500 0.2500 0.2500 Li
0.0000 0.0000 0.0000 Ta
0.5000 0.5000 0.5000 La
```

Summary:
* formation energy: 321 kJ/mol of formula units
* uncorrected energy: -15.37 eV/cell
* energy relative to the lowest polymorph listed for this composition: 1.92 eV per formula unit
* N(E_F): 1.793 states/eV/atom
* SG: F-43m (216)

***

No. 3
NaTlI3 after structural relaxation, computed with PBE.

POSCAR file:
```
NaTlI3
1.0
-3.6431 1.7523 -2.2920
-0.4672 -7.8099 -5.1323
-6.0933 -5.9067 5.1615
I Tl Na
6 2 2
direct
0.4912 0.2889 0.7836 I
0.9943 0.6152 0.9987 I
0.4913 0.2936 0.3092 I
0.9935 0.6109 0.4731 I
0.9916 0.9375 0.0797 I
0.4934 0.9667 0.7029 I
0.9911 0.2654 0.0768 Tl
0.4927 0.6388 0.7054 Tl
0.4934 0.6722 0.2292 Na
0.9910 0.2325 0.5524 Na
```

Summary:
* raw formation energy: -3.31 eV/f.u.
* uncorrected energy: -23.30 eV/cell
* energy relative to the lowest polymorph listed for this composition: 0.00 eV per formula unit
* N(E_F): 0.480 states/eV/atom
* SG: P-1 (2)

***

No. 4
Ni2AgTeSe after structural relaxation, computed with PBE.

POSCAR file:
```
Ni2AgTeSe
1.0
-2.1278 2.0156 -3.7559
-1.5035 -4.2829 -1.4468
-4.3230 0.5843 2.7626
Te Ni Ag Se
1 2 1 1
direct
0.0000 0.0000 0.5000 Te
0.0000 0.5000 0.0000 Ni
0.5000 0.0000 0.0000 Ni
0.0000 0.0000 0.0000 Ag
0.5000 0.5000 0.5000 Se
```

Summary:
* raw formation energy: 5.82 eV/f.u.
* uncorrected energy: -15.22 eV/cell
* N(E_F): 1.729 states/eV/atom
* SG: P4/mmm (123)

***

No. 5
Pr8AsSe3S4 after structural relaxation, computed with PBE.

POSCAR file:
```
Pr8AsSe3S4
1.0
8.3740 0.0000 0.0000
0.0000 8.4079 0.0182
-4.1870 -4.1829 5.9243
Pr S As Se
8 4 1 3
direct
0.2514 0.7663 0.5028 Pr
0.2365 0.2337 0.9851 Pr
0.2421 0.2262 0.4841 Pr
0.2514 0.7663 0.0149 Pr
0.7486 0.2337 0.4972 Pr
0.7635 0.7663 0.0149 Pr
0.7486 0.2337 0.9851 Pr
0.7579 0.7738 0.5159 Pr
0.0000 0.0000 0.0000 S
0.0000 0.0000 0.5000 S
0.5000 0.0000 0.0000 S
0.5000 0.0000 0.5000 S
0.0000 0.5000 0.0000 As
0.0000 0.5000 0.5000 Se
0.5000 0.5000 0.5000 Se
0.5000 0.5000 0.0000 Se
```

Summary:
* raw formation energy: -30.50 eV/f.u.
* uncorrected energy: -100.34 eV/cell
* N(E_F): 0.368 states/eV/atom
* SG: R-3m (166)

***

No. 6
LaCrRh2 after structural relaxation, computed with PBE.

POSCAR file:
```
LaCrRh2
1.0
-2.2388 0.0108 -2.2081
1.9719 -1.6592 -2.0074
-0.5582 -7.6929 0.5282
Rh Cr La
2 1 1
direct
0.0000 0.5529 0.4474 Rh
0.0000 0.9471 0.0526 Rh
0.5000 0.2500 0.2500 Cr
0.5000 0.7500 0.7500 La
```

Summary:
* formation energy: -57 kJ/mol of formula units
* uncorrected energy: -29.84 eV/cell
* energy relative to the lowest polymorph listed for this composition: 0.00 eV per formula unit
* N(E_F): 1.124 states/eV/atom
* SG: P2/m (10)

***

No. 7
LaHo2Fe after structural relaxation, computed with PBE.

POSCAR file:
```
LaHo2Fe
1.0
3.4848 0.0000 0.0000
1.7424 3.0180 0.0000
1.7424 1.0060 10.6556
Ho Fe La
2 1 1
direct
0.1095 0.1095 0.6716 Ho
0.8905 0.8905 0.3284 Ho
0.5000 0.5000 0.5000 Fe
0.0000 0.0000 0.0000 La
```

Summary:
* formation energy: 109 kJ/mol of formula units
* uncorrected energy: -21.42 eV/cell
* energy relative to the lowest polymorph listed for this composition: 0.88 eV per formula unit
* N(E_F): 1.394 states/eV/atom
* SG: R-3m (166)

***

No. 8
La3Mg2Pb3 after structural relaxation, computed with PBE.

POSCAR file:
```
La3Mg2Pb3
1.0
-1.0232 5.6165 -3.4632
-9.4069 -1.2756 0.7107
4.6482 4.9574 6.6664
La Pb Mg
6 6 4
direct
0.7500 0.6936 0.6936 La
0.2500 0.3064 0.3064 La
0.2500 0.0000 0.6936 La
0.7500 0.0000 0.3064 La
0.2500 0.6936 0.0000 La
0.7500 0.3064 0.0000 La
0.7500 0.6412 0.0000 Pb
0.7500 0.3588 0.3588 Pb
0.7500 0.0000 0.6412 Pb
0.2500 0.6412 0.6412 Pb
0.2500 0.3588 0.0000 Pb
0.2500 0.0000 0.3588 Pb
0.5000 0.3333 0.6667 Mg
0.0000 0.3333 0.6667 Mg
0.5000 0.6667 0.3333 Mg
0.0000 0.6667 0.3333 Mg
```

Summary:
* formation energy: -322 kJ/mol of formula units
* uncorrected energy: -64.86 eV/cell
* N(E_F): 0.400 states/eV/atom
* SG: P6_3/mcm (193)

***

Q: What is the N(E_F) in the fourth record?
A: 1.729 states/eV/atom